This record from Alexandria via LeMat-Bulk describes crystalline RbLa2AsSe at its relaxed geometry. The functional is GGA-PBEsol.

a b c (Å): 5.586 5.586 5.828
angles (deg): 90.00 90.00 90.00
Space group P4/mmm (No. 123)
Asymmetric unit:
Rb 0.000 0.000 0.000 [1 per cell]
La 0.000 0.500 0.500 [2 per cell]
As 0.500 0.500 0.000 [1 per cell]
Se 0.000 0.000 0.500 [1 per cell]

Results
raw formation energy = -2.28 eV/f.u.
total moment = 0.0 μB/f.u.



This record from Alexandria via LeMat-Bulk describes crystalline ThAl2Au2 at its relaxed geometry. The functional is GGA-PBEsol.

a b c (Å): 4.367 4.367 10.318
angles (deg): 90.00 90.00 90.00
Space group P4/nmm (No. 129, origin choice 2)
Asymmetric unit:
Th 0.250 0.250 0.248 [2 per cell]
Al 0.250 0.250 0.869 [2 per cell]
Al 0.250 0.750 0.500 [2 per cell]
Au 0.250 0.250 0.629 [2 per cell]
Au 0.250 0.750 0.000 [2 per cell]

Results
total moment = 0.0 μB/f.u.
formation energy = -3.676 eV per formula unit



This record from Alexandria via LeMat-Bulk describes crystalline Zr2TaHg at its relaxed geometry. The functional is GGA-PBEsol.

a b c (Å): 3.173 3.744 6.810
angles (deg): 90.00 90.00 90.00
Space group Pmmm (No. 47)
Asymmetric unit:
Zr 0.000 0.000 0.242 [2 per cell]
Ta 0.500 0.500 0.000 [1 per cell]
Hg 0.500 0.500 0.500 [1 per cell]

Results
total moment = 0.0 μB/f.u.
formation energy = -0.453 eV per formula unit